Density functional theory data (PBE) for a geometry-optimized Dy5Si2Pb2 structure.

## Properties
V = 26.36 Å³/atom
N(E_F) = 0.5673 states/eV/atom
Uncorrected energy = -5.23 eV/atom
Magnetization = 0.0 Bohr magnetons per cell

Lattice parameters (Å, degrees): 15.4121 7.8721 7.8212 90.00 90.00 90.00
Last column: nearest neighbours and their distance in Å.
Space group Cmce (No. 64)
Symmetry-distinct sites (fractional):
Dy1 0.0000 0.0000 0.0000 [4 per cell]  4 Si 3.09-3.12, 2 Pb 3.30
Dy2 0.1248 0.1743 0.3273 [16 per cell]  3 Si 2.95-3.06, 3 Pb 3.14-3.22
Si1 0.0000 0.1243 0.6253 [8 per cell]  1 Si 2.77, 7 Dy 2.95-3.09
Pb1 0.2144 0.0000 0.0000 [8 per cell]  7 Dy 3.14-3.30

Density functional theory data (PBE) for a geometry-optimized ZrIrCl2 structure.

## Properties
V = 18.17 Å³/atom
N(E_F) = 1.1941 states/eV/atom
E above lowest polymorph = 929 meV per atom
Magnetization = 2.4 Bohr magnetons per cell

Lattice parameters (Å, degrees): 4.1602 4.1602 8.3970 90.00 90.00 90.00
Last column: nearest neighbours and their distance in Å.
Space group I4/mmm (No. 139)
Symmetry-distinct sites (fractional):
Zr1 0.0000 0.0000 0.0000 [2 per cell]  4 Ir 2.94, 8 Cl 2.96
Ir1 0.0000 0.0000 0.5000 [2 per cell]  4 Zr 2.94, 8 Cl 2.96
Cl1 0.0000 0.5000 0.2500 [4 per cell]  4 Cl 2.94, 4 Zr 2.96, 4 Ir 2.96

Density functional theory data (PBE) for a geometry-optimized TmAl3Cu3 structure.

## Properties
V = 16.67 Å³/atom
N(E_F) = 0.3688 states/eV/atom
E_form = -0.237 eV/atom
Magnetization = 0.0 Bohr magnetons per cell

Lattice parameters (Å, degrees): 6.8845 4.2940 8.4224 90.00 110.36 90.00
Last column: nearest neighbours and their distance in Å.
Space group P2_1/m (No. 11)
Symmetry-distinct sites (fractional):
Tm1 0.2009 0.2500 0.2817 [2 per cell]  6 Cu 2.73-2.98, 1 Al 2.97
Al1 0.1722 0.2500 0.9002 [2 per cell]  4 Cu 2.44-2.59, 2 Al 2.68
Al2 0.2381 0.7500 0.7355 [2 per cell]  4 Cu 2.40-2.68, 2 Al 2.68
Al3 0.4786 0.2500 0.7287 [2 per cell]  4 Cu 2.54-2.71, 2 Al 2.72
Cu1 0.0225 0.2500 0.5810 [2 per cell]  3 Cu 2.50-2.67, 4 Al 2.52-2.68
Cu2 0.1687 0.7500 0.0356 [2 per cell]  4 Al 2.44-2.59
Cu3 0.3899 0.7500 0.5186 [2 per cell]  2 Al 2.40-2.54, 1 Cu 2.67

Density functional theory data (PBE) for a geometry-optimized La6SmHo structure.

## Properties
V = 35.44 Å³/atom
N(E_F) = 1.4446 states/eV/atom
E_form = 0.007 eV/atom
Magnetization = 0.0 Bohr magnetons per cell

Lattice parameters (Å, degrees): 5.2137 5.2137 10.4313 90.00 90.00 90.00
Last column: nearest neighbours and their distance in Å.
Space group P4/mmm (No. 123)
Symmetry-distinct sites (fractional):
La1 0.0000 0.0000 0.0000 [1 per cell]  8 La 3.68, 4 Ho 3.69
La2 0.0000 0.0000 0.5000 [1 per cell]  4 Sm 3.69, 8 La 3.70
La3 0.0000 0.5000 0.2489 [4 per cell]  2 Ho 3.68, 8 La 3.68-3.70, 2 Sm 3.70
Sm1 0.5000 0.5000 0.5000 [1 per cell]  12 La 3.69-3.70
Ho1 0.5000 0.5000 0.0000 [1 per cell]  12 La 3.68-3.69

Density functional theory data (PBE) for a geometry-optimized Rb2CuRh structure.

## Properties
V = 30.63 Å³/atom
N(E_F) = 0.9147 states/eV/atom
E_form = 1.000 eV/atom
E above lowest polymorph = 0 meV per atom
Magnetization = 0.0 Bohr magnetons per cell

Lattice parameters (Å, degrees): 7.8842 7.8842 7.8842 90.00 90.00 90.00
Last column: nearest neighbours and their distance in Å.
Space group Fm-3m (No. 225)
Symmetry-distinct sites (fractional):
Rb1 0.2500 0.2500 0.2500 [8 per cell]  4 Cu 3.41, 4 Rh 3.41
Cu1 0.0000 0.0000 0.0000 [4 per cell]  8 Rb 3.41
Rh1 0.0000 0.0000 0.5000 [4 per cell]  8 Rb 3.41

Density functional theory data (PBE) for a geometry-optimized Pm4Y9Cd11 structure.

## Properties
V = 27.27 Å³/atom
N(E_F) = 1.1373 states/eV/atom
E_form = -0.256 eV/atom
Magnetization = 2.2 Bohr magnetons per cell

Lattice parameters (Å, degrees): 16.1012 22.8003 3.5651 90.00 90.00 90.00
Last column: nearest neighbours and their distance in Å.
Space group Cmmm (No. 65)
Symmetry-distinct sites (fractional):
Pm1 0.1655 0.0840 0.0000 [8 per cell]  3 Y 3.28-3.59, 6 Cd 3.31-3.38, 2 Pm 3.57
Y1 0.0000 0.0000 0.0000 [2 per cell]  4 Pm 3.28, 4 Cd 3.49, 2 Y 3.57
Y2 0.1118 0.4054 0.0000 [8 per cell]  8 Cd 3.20-3.33, 2 Y 3.57
Y3 0.1149 0.2320 0.0000 [8 per cell]  8 Cd 3.23-3.44, 1 Pm 3.47, 2 Y 3.57
Cd1 0.0000 0.1317 0.5000 [4 per cell]  4 Pm 3.38, 6 Y 3.44-3.49, 2 Cd 3.57
Cd2 0.0000 0.3181 0.5000 [4 per cell]  8 Y 3.22-3.23, 2 Cd 3.57
Cd3 0.0000 0.5000 0.5000 [2 per cell]  8 Y 3.33, 4 Cd 3.35-3.57
Cd4 0.2078 0.5000 0.5000 [4 per cell]  4 Y 3.20, 4 Pm 3.32, 3 Cd 3.35-3.57
Cd5 0.2297 0.3185 0.5000 [8 per cell]  3 Cd 3.19-3.57, 6 Y 3.24-3.28, 2 Pm 3.31

Density functional theory data (PBE) for a geometry-optimized LiZn2Ga2Au2 structure.

## Properties
V = 16.33 Å³/atom
N(E_F) = 0.1895 states/eV/atom
E_form = -0.222 eV/atom
Magnetization = 0.0 Bohr magnetons per cell

Lattice parameters (Å, degrees): 4.4808 4.4808 19.7187 90.00 90.00 120.00
Last column: nearest neighbours and their distance in Å.
Space group R-3m (No. 166, hexagonal axes)
Symmetry-distinct sites (fractional):
Li1 0.0000 0.0000 0.0000 [3 per cell]  2 Zn 2.71, 6 Ga 2.79
Zn1 0.0000 0.0000 0.1372 [6 per cell]  1 Li 2.71, 3 Au 2.77, 1 Ga 2.83, 3 Zn 2.84
Ga1 0.0000 0.0000 0.2805 [6 per cell]  4 Au 2.67-2.75, 3 Li 2.79, 1 Zn 2.83
Au1 0.0000 0.0000 0.4202 [6 per cell]  4 Ga 2.67-2.75, 3 Zn 2.77

Density functional theory data (PBE) for a geometry-optimized K3TeH structure.

## Properties
V = 50.51 Å³/atom
N(E_F) = 0.0000 states/eV/atom
E above lowest polymorph = 455 meV per atom
Magnetization = 0.0 Bohr magnetons per cell

Lattice parameters (Å, degrees): 6.5353 6.5353 23.6526 90.00 90.00 90.00
Last column: nearest neighbours and their distance in Å.
Space group I-4m2 (No. 119)
Symmetry-distinct sites (fractional):
K1 0.0000 0.0000 0.2105 [4 per cell]  2 Te 3.40, 2 H 3.46
K2 0.0000 0.2457 0.6171 [8 per cell]  2 Te 3.20-3.56, 2 K 3.21-3.32
Te1 0.0000 0.0000 0.5000 [2 per cell]  4 K 3.20
Te2 0.0000 0.5000 0.7500 [2 per cell]  8 K 3.40-3.56
H1 0.0000 0.5000 0.1621 [4 per cell]  6 K 3.46-3.79

Density functional theory data (PBE) for a geometry-optimized K2TaTl structure.

## Properties
V = 29.62 Å³/atom
N(E_F) = 0.6901 states/eV/atom
E_form = 1.003 eV/atom
E above lowest polymorph = 242 meV per atom
Magnetization = 3.4 Bohr magnetons per cell

Lattice parameters (Å, degrees): 6.2562 12.3574 3.1243 90.00 101.21 90.00
Last column: nearest neighbours and their distance in Å.
Space group C2/m (No. 12)
Symmetry-distinct sites (fractional):
K1 0.2500 0.2500 0.0000 [4 per cell]  4 K 3.12-3.13
Ta1 0.0000 0.0000 0.5000 [2 per cell]  2 Ta 3.12, 2 Tl 3.13
Tl1 0.0000 0.5000 0.5000 [2 per cell]  2 Tl 3.12, 2 Ta 3.13

Density functional theory data (PBE) for a geometry-optimized MnPd4Pt2 structure.

## Properties
V = 15.35 Å³/atom
N(E_F) = 1.7321 states/eV/atom
E_form = -0.136 eV/atom
E above lowest polymorph = 0 meV per atom
Magnetization = 9.6 Bohr magnetons per cell

Lattice parameters (Å, degrees): 5.3517 6.6534 7.2369 63.77 69.76 74.46
Last column: nearest neighbours and their distance in Å.
Space group P1 (No. 1)
Symmetry-distinct sites (fractional):
Mn1 0.0000 0.0000 0.0000 [1 per cell]  4 Pt 2.74-2.82, 8 Pd 2.75-2.81
Mn2 0.3853 0.5275 0.5962 [1 per cell]  9 Pd 2.76-2.83, 3 Pt 2.76-2.79
Pd1 0.1502 0.5741 0.2859 [1 per cell]  5 Pd 2.75-2.82, 5 Pt 2.76-2.84, 2 Mn 2.78-2.80
Pd2 0.2414 0.9531 0.3073 [1 per cell]  7 Pd 2.75-2.84, 3 Pt 2.77-2.82, 2 Mn 2.77-2.81
Pd3 0.2929 0.1402 0.5748 [1 per cell]  8 Pd 2.75-2.84, 2 Pt 2.75-2.85, 2 Mn 2.78-2.83
Pd4 0.5194 0.0969 0.8830 [1 per cell]  5 Pd 2.75-2.84, 4 Pt 2.75-2.81, 3 Mn 2.78-2.81
Pd5 0.7169 0.8598 0.4235 [1 per cell]  2 Mn 2.75-2.78, 3 Pt 2.76-2.83, 7 Pd 2.77-2.83
Pd6 0.8093 0.2420 0.4541 [1 per cell]  3 Pt 2.74-2.84, 1 Mn 2.76, 8 Pd 2.76-2.83
Pd7 0.8691 0.4277 0.7097 [1 per cell]  6 Pd 2.75-2.84, 3 Mn 2.77-2.81, 3 Pt 2.77-2.84
Pd8 0.9557 0.8143 0.7347 [1 per cell]  6 Pd 2.76-2.82, 2 Mn 2.77-2.80, 4 Pt 2.77-2.83
Pt1 0.0965 0.3853 0.0198 [1 per cell]  6 Pd 2.75-2.84, 2 Mn 2.76-2.82, 4 Pt 2.76-2.82
Pt2 0.4273 0.7140 0.8600 [1 per cell]  7 Pd 2.75-2.84, 3 Pt 2.76-2.84, 2 Mn 2.77-2.79
Pt3 0.5807 0.2871 0.1355 [1 per cell]  1 Mn 2.74, 4 Pt 2.76-2.82, 7 Pd 2.77-2.85
Pt4 0.6713 0.6646 0.1714 [1 per cell]  7 Pd 2.74-2.83, 2 Mn 2.76-2.79, 3 Pt 2.76-2.84

Density functional theory data (PBE) for a geometry-optimized Ac2DyPb structure.

## Properties
V = 36.64 Å³/atom
N(E_F) = 1.4581 states/eV/atom
E_form = -0.090 eV/atom
E above lowest polymorph = 132 meV per atom
Magnetization = 0.0 Bohr magnetons per cell

Lattice parameters (Å, degrees): 8.3694 8.3694 8.3694 90.00 90.00 90.00
Last column: nearest neighbours and their distance in Å.
Space group Fm-3m (No. 225)
Symmetry-distinct sites (fractional):
Ac1 0.2500 0.2500 0.2500 [8 per cell]  4 Pb 3.62, 4 Dy 3.62
Dy1 0.0000 0.0000 0.0000 [4 per cell]  8 Ac 3.62
Pb1 0.0000 0.0000 0.5000 [4 per cell]  8 Ac 3.62

Repeat the tenth record exactly.
Density functional theory data (PBE) for a geometry-optimized MnPd4Pt2 structure.

## Properties
V = 15.35 Å³/atom
N(E_F) = 1.7321 states/eV/atom
E_form = -0.136 eV/atom
E above lowest polymorph = 0 meV per atom
Magnetization = 9.6 Bohr magnetons per cell

Lattice parameters (Å, degrees): 5.3517 6.6534 7.2369 63.77 69.76 74.46
Last column: nearest neighbours and their distance in Å.
Space group P1 (No. 1)
Symmetry-distinct sites (fractional):
Mn1 0.0000 0.0000 0.0000 [1 per cell]  4 Pt 2.74-2.82, 8 Pd 2.75-2.81
Mn2 0.3853 0.5275 0.5962 [1 per cell]  9 Pd 2.76-2.83, 3 Pt 2.76-2.79
Pd1 0.1502 0.5741 0.2859 [1 per cell]  5 Pd 2.75-2.82, 5 Pt 2.76-2.84, 2 Mn 2.78-2.80
Pd2 0.2414 0.9531 0.3073 [1 per cell]  7 Pd 2.75-2.84, 3 Pt 2.77-2.82, 2 Mn 2.77-2.81
Pd3 0.2929 0.1402 0.5748 [1 per cell]  8 Pd 2.75-2.84, 2 Pt 2.75-2.85, 2 Mn 2.78-2.83
Pd4 0.5194 0.0969 0.8830 [1 per cell]  5 Pd 2.75-2.84, 4 Pt 2.75-2.81, 3 Mn 2.78-2.81
Pd5 0.7169 0.8598 0.4235 [1 per cell]  2 Mn 2.75-2.78, 3 Pt 2.76-2.83, 7 Pd 2.77-2.83
Pd6 0.8093 0.2420 0.4541 [1 per cell]  3 Pt 2.74-2.84, 1 Mn 2.76, 8 Pd 2.76-2.83
Pd7 0.8691 0.4277 0.7097 [1 per cell]  6 Pd 2.75-2.84, 3 Mn 2.77-2.81, 3 Pt 2.77-2.84
Pd8 0.9557 0.8143 0.7347 [1 per cell]  6 Pd 2.76-2.82, 2 Mn 2.77-2.80, 4 Pt 2.77-2.83
Pt1 0.0965 0.3853 0.0198 [1 per cell]  6 Pd 2.75-2.84, 2 Mn 2.76-2.82, 4 Pt 2.76-2.82
Pt2 0.4273 0.7140 0.8600 [1 per cell]  7 Pd 2.75-2.84, 3 Pt 2.76-2.84, 2 Mn 2.77-2.79
Pt3 0.5807 0.2871 0.1355 [1 per cell]  1 Mn 2.74, 4 Pt 2.76-2.82, 7 Pd 2.77-2.85
Pt4 0.6713 0.6646 0.1714 [1 per cell]  7 Pd 2.74-2.83, 2 Mn 2.76-2.79, 3 Pt 2.76-2.84

Repeat the second record exactly.
Density functional theory data (PBE) for a geometry-optimized ZrIrCl2 structure.

## Properties
V = 18.17 Å³/atom
N(E_F) = 1.1941 states/eV/atom
E above lowest polymorph = 929 meV per atom
Magnetization = 2.4 Bohr magnetons per cell

Lattice parameters (Å, degrees): 4.1602 4.1602 8.3970 90.00 90.00 90.00
Last column: nearest neighbours and their distance in Å.
Space group I4/mmm (No. 139)
Symmetry-distinct sites (fractional):
Zr1 0.0000 0.0000 0.0000 [2 per cell]  4 Ir 2.94, 8 Cl 2.96
Ir1 0.0000 0.0000 0.5000 [2 per cell]  4 Zr 2.94, 8 Cl 2.96
Cl1 0.0000 0.5000 0.2500 [4 per cell]  4 Cl 2.94, 4 Zr 2.96, 4 Ir 2.96